BaPbN3: optimized geometry, PBEsol.

Summary:
**Fermi-level density of states**: 0.86 states/eV per atom
**VASP energy**: -0.1632 hartree per atom
**Formation energy without anion corrections**: 1904.3 meV per atom

abc: 4.6081 4.6081 4.6081
angles: 90.00 90.00 90.00
Last column: nearest neighbours and their distance in Å.
Fractional coordinates of all 5 atoms:
1 Ba 0.0000 0.0000 0.0000  6 N 2.30
2 Pb 0.5000 0.5000 0.5000  12 N 3.26
3 N 0.0000 0.0000 0.5000  2 Ba 2.30
4 N 0.0000 0.5000 0.0000  2 Ba 2.30
5 N 0.5000 0.0000 0.0000  2 Ba 2.30

=====

LuCuS2: optimized geometry, PBEsol.

Summary:
**Fermi-level density of states**: 0.00 states/eV per atom
**VASP energy**: -0.2173 hartree per atom
**Formation energy without anion corrections**: -1418.1 meV per atom

abc: 3.7960 3.7960 5.9761
angles: 90.00 90.00 120.00
Last column: nearest neighbours and their distance in Å.
Fractional coordinates of all 4 atoms:
1 Lu 0.0000 0.0000 0.0000  6 S 2.60-2.72
2 Cu 0.6667 0.3333 0.6128  4 S 2.27-2.30
3 S 0.3333 0.6667 0.7314  3 Cu 2.30
4 S 0.6667 0.3333 0.2338  1 Cu 2.27

=====

Mn2TlW: optimized geometry, PBEsol.

Summary:
**Fermi-level density of states**: 0.82 states/eV per atom
**VASP energy**: -0.3075 hartree per atom
**Energy of formation**: 622 meV/atom

abc: 5.1038 5.1038 5.1038
angles: 143.85 129.95 63.29
Last column: nearest neighbours and their distance in Å.
Fractional coordinates of all 4 atoms:
1 Mn 0.0000 0.0000 0.0000  2 Mn 2.61, 4 W 2.70, 2 Tl 2.78
2 Mn 0.7610 0.2610 0.5000  2 W 2.51, 2 Mn 2.61, 4 Tl 2.68
3 Tl 0.2634 0.7634 0.5000  8 Mn 2.68-2.98, 4 W 2.86-2.92
4 W 0.5374 0.5374 0.0000  6 Mn 2.51-2.70

=====

Ce2CdIn: optimized geometry, PBEsol.

Summary:
**Fermi-level density of states**: 3.79 states/eV per atom
**VASP energy**: -0.1653 hartree per atom
**Energy of formation**: -154 meV/atom

abc: 5.3271 5.3271 5.3271
angles: 60.00 60.00 60.00
Last column: nearest neighbours and their distance in Å.
Fractional coordinates of all 4 atoms:
1 Ce 0.2500 0.2500 0.2500  4 Cd 3.26, 4 In 3.26
2 Ce 0.7500 0.7500 0.7500  4 In 3.26, 4 Cd 3.26
3 Cd 0.0000 0.0000 0.0000  8 Ce 3.26
4 In 0.5000 0.5000 0.5000  8 Ce 3.26

=====

Tc2AgHg: optimized geometry, PBEsol.

Summary:
**Fermi-level density of states**: 1.07 states/eV per atom
**VASP energy**: -0.2194 hartree per atom
**Energy of formation**: 633 meV/atom

abc: 3.7606 3.7606 4.4889
angles: 90.00 90.00 90.00
Last column: nearest neighbours and their distance in Å.
Fractional coordinates of all 4 atoms:
1 Tc 0.0000 0.5000 0.0000  4 Tc 2.66, 4 Hg 2.93, 4 Ag 2.93
2 Tc 0.5000 0.0000 0.0000  4 Tc 2.66, 4 Hg 2.93, 4 Ag 2.93
3 Ag 0.0000 0.0000 0.5000  4 Hg 2.66, 8 Tc 2.93
4 Hg 0.5000 0.5000 0.5000  4 Ag 2.66, 8 Tc 2.93

=====

SbWAu2: optimized geometry, PBEsol.

Summary:
**Fermi-level density of states**: 0.56 states/eV per atom
**VASP energy**: -0.2235 hartree per atom
**Formation energy without anion corrections**: 471.5 meV per atom

abc: 5.4826 5.4826 4.6235
angles: 102.51 102.51 32.33
Last column: nearest neighbours and their distance in Å.
Fractional coordinates of all 4 atoms:
1 Sb 0.0000 0.0000 0.0000  4 W 2.77, 2 Au 2.95, 2 Sb 3.05
2 W 0.5000 0.5000 0.5000  4 Sb 2.77, 4 Au 2.86, 2 W 3.05
3 Au 0.2293 0.2293 0.7337  6 Au 2.76-3.05, 2 W 2.86, 1 Sb 2.95
4 Au 0.7707 0.7707 0.2663  6 Au 2.76-3.05, 2 W 2.86, 1 Sb 2.95